1.
Density functional theory data (PBE) for a relaxed ThSiRh2 crystal.

- space group = No. 166

```
data_ThSiRh2
_chemical_formula_sum 'Th1 Si1 Rh2'
_cell_length_a 5.618
_cell_length_b 5.618
_cell_length_c 5.618
_cell_angle_alpha 42.92
_cell_angle_beta 42.92
_cell_angle_gamma 42.92
_space_group_name_H-M_alt 'P 1'
_space_group_IT_number 1
_space_group_name_Hall 'P 1'
loop_
_atom_site_label
_atom_site_fract_x
_atom_site_fract_y
_atom_site_fract_z
Th1 0.000 0.000 0.000
Si1 0.500 0.500 0.500
Rh1 0.215 0.215 0.215
Rh2 0.785 0.785 0.785
```

2.
Density functional theory data (PBE) for a relaxed ThSiRh2 crystal.

- space group = No. 129

```
data_ThSiRh2
_chemical_formula_sum 'Th2 Si2 Rh4'
_cell_length_a 3.995
_cell_length_b 3.995
_cell_length_c 9.536
_cell_angle_alpha 90.00
_cell_angle_beta 90.00
_cell_angle_gamma 90.00
_space_group_name_H-M_alt 'P 1'
_space_group_IT_number 1
_space_group_name_Hall 'P 1'
loop_
_atom_site_label
_atom_site_fract_x
_atom_site_fract_y
_atom_site_fract_z
Th1 0.250 0.250 0.210
Th2 0.750 0.750 0.790
Si1 0.250 0.250 0.639
Si2 0.750 0.750 0.361
Rh1 0.250 0.250 0.890
Rh2 0.250 0.750 0.500
Rh3 0.750 0.250 0.500
Rh4 0.750 0.750 0.110
```

3.
Density functional theory data (PBE) for a relaxed Th3Si2Rh6 crystal.

- space group = No. 229

```
data_Th3Si2Rh6
_chemical_formula_sum 'Th6 Si4 Rh12'
_cell_length_a 8.191
_cell_length_b 8.191
_cell_length_c 8.191
_cell_angle_alpha 109.47
_cell_angle_beta 109.47
_cell_angle_gamma 109.47
_space_group_name_H-M_alt 'P 1'
_space_group_IT_number 1
_space_group_name_Hall 'P 1'
loop_
_atom_site_label
_atom_site_fract_x
_atom_site_fract_y
_atom_site_fract_z
Th1 0.000 0.298 0.298
Th2 0.000 0.702 0.702
Th3 0.298 0.000 0.298
Th4 0.298 0.298 0.000
Th5 0.702 0.000 0.702
Th6 0.702 0.702 0.000
Si1 0.000 0.000 0.500
Si2 0.000 0.500 0.000
Si3 0.500 0.000 0.000
Si4 0.500 0.500 0.500
Rh1 0.000 0.310 0.690
Rh2 0.000 0.690 0.310
Rh3 0.310 0.000 0.690
Rh4 0.310 0.310 0.619
Rh5 0.310 0.619 0.310
Rh6 0.310 0.690 0.000
Rh7 0.381 0.690 0.690
Rh8 0.619 0.310 0.310
Rh9 0.690 0.000 0.310
Rh10 0.690 0.310 0.000
Rh11 0.690 0.381 0.690
Rh12 0.690 0.690 0.381
```

4.
Density functional theory data (PBE) for a relaxed Th2Si5Rh3 crystal.

- space group = No. 72

```
data_Th2Si5Rh3
_chemical_formula_sum 'Th4 Si10 Rh6'
_cell_length_a 8.245
_cell_length_b 8.245
_cell_length_c 8.245
_cell_angle_alpha 105.64
_cell_angle_beta 89.49
_cell_angle_gamma 137.67
_space_group_name_H-M_alt 'P 1'
_space_group_IT_number 1
_space_group_name_Hall 'P 1'
loop_
_atom_site_label
_atom_site_fract_x
_atom_site_fract_y
_atom_site_fract_z
Th1 0.131 0.233 0.364
Th2 0.369 0.733 0.102
Th3 0.631 0.267 0.898
Th4 0.869 0.767 0.636
Si1 0.024 0.750 0.274
Si2 0.109 0.650 0.759
Si3 0.250 0.250 0.000
Si4 0.391 0.150 0.541
Si5 0.476 0.750 0.726
Si6 0.524 0.250 0.274
Si7 0.609 0.850 0.459
Si8 0.750 0.750 0.000
Si9 0.891 0.350 0.241
Si10 0.976 0.250 0.726
Rh1 0.138 0.889 0.027
Rh2 0.250 0.750 0.500
Rh3 0.362 0.389 0.750
Rh4 0.638 0.611 0.250
Rh5 0.750 0.250 0.500
Rh6 0.862 0.111 0.973
```

5.
Density functional theory data (PBE) for a relaxed Th2Si7Rh12 crystal.

- space group = No. 147

```
data_Th2Si7Rh12
_chemical_formula_sum 'Th2 Si7 Rh12'
_cell_length_a 9.798
_cell_length_b 9.798
_cell_length_c 3.897
_cell_angle_alpha 90.00
_cell_angle_beta 90.00
_cell_angle_gamma 120.00
_space_group_name_H-M_alt 'P 1'
_space_group_IT_number 1
_space_group_name_Hall 'P 1'
loop_
_atom_site_label
_atom_site_fract_x
_atom_site_fract_y
_atom_site_fract_z
Th1 0.333 0.667 0.252
Th2 0.667 0.333 0.748
Si1 0.000 0.000 0.500
Si2 0.104 0.395 0.751
Si3 0.291 0.896 0.751
Si4 0.395 0.291 0.249
Si5 0.605 0.709 0.751
Si6 0.709 0.104 0.249
Si7 0.896 0.605 0.249
Rh1 0.066 0.621 0.752
Rh2 0.122 0.860 0.254
Rh3 0.140 0.262 0.254
Rh4 0.262 0.122 0.746
Rh5 0.379 0.445 0.752
Rh6 0.445 0.066 0.248
Rh7 0.555 0.934 0.752
Rh8 0.621 0.555 0.248
Rh9 0.738 0.878 0.254
Rh10 0.860 0.738 0.746
Rh11 0.878 0.140 0.746
Rh12 0.934 0.379 0.248
```

6.
Density functional theory data (PBE) for a relaxed ThSi3Rh3 crystal.

- space group = No. 223

```
data_ThSi3Rh3
_chemical_formula_sum 'Th2 Si6 Rh6'
_cell_length_a 6.480
_cell_length_b 6.480
_cell_length_c 6.480
_cell_angle_alpha 90.00
_cell_angle_beta 90.00
_cell_angle_gamma 90.00
_space_group_name_H-M_alt 'P 1'
_space_group_IT_number 1
_space_group_name_Hall 'P 1'
loop_
_atom_site_label
_atom_site_fract_x
_atom_site_fract_y
_atom_site_fract_z
Th1 0.000 0.000 0.000
Th2 0.500 0.500 0.500
Si1 0.000 0.250 0.500
Si2 0.000 0.750 0.500
Si3 0.250 0.500 0.000
Si4 0.500 0.000 0.250
Si5 0.500 0.000 0.750
Si6 0.750 0.500 0.000
Rh1 0.000 0.500 0.250
Rh2 0.000 0.500 0.750
Rh3 0.250 0.000 0.500
Rh4 0.500 0.250 0.000
Rh5 0.500 0.750 0.000
Rh6 0.750 0.000 0.500
```

7.
Density functional theory data (PBE) for a relaxed Th3Si3Rh crystal.

- space group = No. 12

```
data_Th3Si3Rh
_chemical_formula_sum 'Th6 Si6 Rh2'
_cell_length_a 5.835
_cell_length_b 5.835
_cell_length_c 14.730
_cell_angle_alpha 108.06
_cell_angle_beta 108.06
_cell_angle_gamma 42.59
_space_group_name_H-M_alt 'P 1'
_space_group_IT_number 1
_space_group_name_Hall 'P 1'
loop_
_atom_site_label
_atom_site_fract_x
_atom_site_fract_y
_atom_site_fract_z
Th1 0.040 0.040 0.275
Th2 0.176 0.176 0.577
Th3 0.316 0.316 0.898
Th4 0.684 0.684 0.102
Th5 0.824 0.824 0.423
Th6 0.960 0.960 0.725
Si1 0.050 0.050 0.940
Si2 0.318 0.318 0.267
Si3 0.459 0.459 0.572
Si4 0.541 0.541 0.428
Si5 0.682 0.682 0.733
Si6 0.950 0.950 0.060
Rh1 0.407 0.407 0.129
Rh2 0.593 0.593 0.871
```

8.
Density functional theory data (PBE) for a relaxed ThSi4Rh4 crystal.

- space group = No. 137

```
data_ThSi4Rh4
_chemical_formula_sum 'Th2 Si8 Rh8'
_cell_length_a 5.975
_cell_length_b 5.975
_cell_length_c 8.083
_cell_angle_alpha 90.00
_cell_angle_beta 90.00
_cell_angle_gamma 90.00
_space_group_name_H-M_alt 'P 1'
_space_group_IT_number 1
_space_group_name_Hall 'P 1'
loop_
_atom_site_label
_atom_site_fract_x
_atom_site_fract_y
_atom_site_fract_z
Th1 0.250 0.750 0.250
Th2 0.750 0.250 0.750
Si1 0.050 0.250 0.082
Si2 0.250 0.050 0.582
Si3 0.250 0.450 0.582
Si4 0.450 0.250 0.082
Si5 0.550 0.750 0.918
Si6 0.750 0.550 0.418
Si7 0.750 0.950 0.418
Si8 0.950 0.750 0.918
Rh1 0.016 0.250 0.380
Rh2 0.250 0.016 0.880
Rh3 0.250 0.484 0.880
Rh4 0.484 0.250 0.380
Rh5 0.516 0.750 0.620
Rh6 0.750 0.516 0.120
Rh7 0.750 0.984 0.120
Rh8 0.984 0.750 0.620
```

9.
Density functional theory data (PBE) for a relaxed Th2Si2Rh5 crystal.

- space group = No. 123

```
data_Th2Si2Rh5
_chemical_formula_sum 'Th2 Si2 Rh5'
_cell_length_a 4.187
_cell_length_b 4.187
_cell_length_c 9.010
_cell_angle_alpha 90.00
_cell_angle_beta 90.00
_cell_angle_gamma 90.00
_space_group_name_H-M_alt 'P 1'
_space_group_IT_number 1
_space_group_name_Hall 'P 1'
loop_
_atom_site_label
_atom_site_fract_x
_atom_site_fract_y
_atom_site_fract_z
Th1 0.000 0.000 0.000
Th2 0.000 0.000 0.500
Si1 0.500 0.500 0.142
Si2 0.500 0.500 0.858
Rh1 0.000 0.500 0.262
Rh2 0.000 0.500 0.738
Rh3 0.500 0.000 0.262
Rh4 0.500 0.000 0.738
Rh5 0.500 0.500 0.500
```

10.
Density functional theory data (PBE) for a relaxed Th2Si3Rh crystal.

- space group = No. 25

```
data_Th2Si3Rh
_chemical_formula_sum 'Th2 Si3 Rh1'
_cell_length_a 4.103
_cell_length_b 4.218
_cell_length_c 7.130
_cell_angle_alpha 90.00
_cell_angle_beta 90.00
_cell_angle_gamma 90.00
_space_group_name_H-M_alt 'P 1'
_space_group_IT_number 1
_space_group_name_Hall 'P 1'
loop_
_atom_site_label
_atom_site_fract_x
_atom_site_fract_y
_atom_site_fract_z
Th1 0.000 0.000 0.000
Th2 0.000 0.500 0.498
Si1 0.500 0.000 0.665
Si2 0.500 0.500 0.166
Si3 0.500 0.500 0.832
Rh1 0.500 0.000 0.333
```

11.
Density functional theory data (PBE) for a relaxed Th3Si2Rh7 crystal.

- space group = No. 65

```
data_Th3Si2Rh7
_chemical_formula_sum 'Th3 Si2 Rh7'
_cell_length_a 13.811
_cell_length_b 13.811
_cell_length_c 4.102
_cell_angle_alpha 90.00
_cell_angle_beta 90.00
_cell_angle_gamma 162.73
_space_group_name_H-M_alt 'P 1'
_space_group_IT_number 1
_space_group_name_Hall 'P 1'
loop_
_atom_site_label
_atom_site_fract_x
_atom_site_fract_y
_atom_site_fract_z
Th1 0.000 0.000 0.000
Th2 0.197 0.803 0.000
Th3 0.803 0.197 0.000
Si1 0.415 0.585 0.500
Si2 0.585 0.415 0.500
Rh1 0.123 0.877 0.500
Rh2 0.292 0.708 0.500
Rh3 0.375 0.625 0.000
Rh4 0.500 0.500 0.500
Rh5 0.625 0.375 0.000
Rh6 0.708 0.292 0.500
Rh7 0.877 0.123 0.500
```

12.
Density functional theory data (PBE) for a relaxed ThSiRh3 crystal.

- relative energy among the computed polymorphs (kJ/mol of formula units) = 42
- space group = No. 74

```
data_ThSiRh3
_chemical_formula_sum 'Th2 Si2 Rh6'
_cell_length_a 6.305
_cell_length_b 6.305
_cell_length_c 6.305
_cell_angle_alpha 127.60
_cell_angle_beta 103.58
_cell_angle_gamma 98.92
_space_group_name_H-M_alt 'P 1'
_space_group_IT_number 1
_space_group_name_Hall 'P 1'
loop_
_atom_site_label
_atom_site_fract_x
_atom_site_fract_y
_atom_site_fract_z
Th1 0.255 0.005 0.250
Th2 0.745 0.995 0.750
Si1 0.000 0.500 0.500
Si2 0.500 0.500 0.000
Rh1 0.084 0.334 0.750
Rh2 0.292 0.000 0.792
Rh3 0.292 0.500 0.292
Rh4 0.708 0.000 0.208
Rh5 0.708 0.500 0.708
Rh6 0.916 0.666 0.250
```

13.
Density functional theory data (PBE) for a relaxed ThSi4Rh2 crystal.

- space group = No. 62

```
data_ThSi4Rh2
_chemical_formula_sum 'Th4 Si16 Rh8'
_cell_length_a 16.687
_cell_length_b 4.286
_cell_length_c 6.448
_cell_angle_alpha 90.00
_cell_angle_beta 90.00
_cell_angle_gamma 90.00
_space_group_name_H-M_alt 'P 1'
_space_group_IT_number 1
_space_group_name_Hall 'P 1'
loop_
_atom_site_label
_atom_site_fract_x
_atom_site_fract_y
_atom_site_fract_z
Th1 0.141 0.250 0.002
Th2 0.359 0.750 0.502
Th3 0.641 0.250 0.498
Th4 0.859 0.750 0.998
Si1 0.032 0.750 0.151
Si2 0.064 0.250 0.536
Si3 0.179 0.750 0.680
Si4 0.192 0.750 0.290
Si5 0.308 0.250 0.790
Si6 0.321 0.250 0.180
Si7 0.436 0.750 0.036
Si8 0.468 0.250 0.651
Si9 0.532 0.750 0.349
Si10 0.564 0.250 0.964
Si11 0.679 0.750 0.820
Si12 0.692 0.750 0.210
Si13 0.808 0.250 0.710
Si14 0.821 0.250 0.320
Si15 0.936 0.750 0.464
Si16 0.968 0.250 0.849
Rh1 0.030 0.750 0.751
Rh2 0.210 0.250 0.484
Rh3 0.290 0.750 0.984
Rh4 0.470 0.250 0.251
Rh5 0.530 0.750 0.749
Rh6 0.710 0.250 0.016
Rh7 0.790 0.750 0.516
Rh8 0.970 0.250 0.249
```

14.
Density functional theory data (PBE) for a relaxed ThSi4Rh6 crystal.

- space group = No. 187

```
data_ThSi4Rh6
_chemical_formula_sum 'Th1 Si4 Rh6'
_cell_length_a 7.041
_cell_length_b 7.041
_cell_length_c 3.843
_cell_angle_alpha 90.00
_cell_angle_beta 90.00
_cell_angle_gamma 120.00
_space_group_name_H-M_alt 'P 1'
_space_group_IT_number 1
_space_group_name_Hall 'P 1'
loop_
_atom_site_label
_atom_site_fract_x
_atom_site_fract_y
_atom_site_fract_z
Th1 0.000 0.000 0.000
Si1 0.203 0.406 0.500
Si2 0.203 0.797 0.500
Si3 0.594 0.797 0.500
Si4 0.667 0.333 0.000
Rh1 0.064 0.532 0.000
Rh2 0.396 0.198 0.500
Rh3 0.468 0.532 0.000
Rh4 0.468 0.936 0.000
Rh5 0.802 0.198 0.500
Rh6 0.802 0.604 0.500
```

15.
Density functional theory data (PBE) for a relaxed Th3Si6Rh20 crystal.

- space group = No. 225

```
data_Th3Si6Rh20
_chemical_formula_sum 'Th3 Si6 Rh20'
_cell_length_a 8.615
_cell_length_b 8.615
_cell_length_c 8.615
_cell_angle_alpha 60.00
_cell_angle_beta 60.00
_cell_angle_gamma 60.00
_space_group_name_H-M_alt 'P 1'
_space_group_IT_number 1
_space_group_name_Hall 'P 1'
loop_
_atom_site_label
_atom_site_fract_x
_atom_site_fract_y
_atom_site_fract_z
Th1 0.000 0.000 0.000
Th2 0.250 0.250 0.250
Th3 0.750 0.750 0.750
Si1 0.275 0.275 0.725
Si2 0.275 0.725 0.275
Si3 0.275 0.725 0.725
Si4 0.725 0.275 0.275
Si5 0.725 0.275 0.725
Si6 0.725 0.725 0.275
Rh1 0.000 0.000 0.341
Rh2 0.000 0.000 0.659
Rh3 0.000 0.341 0.000
Rh4 0.000 0.341 0.659
Rh5 0.000 0.659 0.000
Rh6 0.000 0.659 0.341
Rh7 0.144 0.619 0.619
Rh8 0.341 0.000 0.000
Rh9 0.341 0.000 0.659
Rh10 0.341 0.659 0.000
Rh11 0.381 0.381 0.381
Rh12 0.381 0.381 0.856
Rh13 0.381 0.856 0.381
Rh14 0.619 0.144 0.619
Rh15 0.619 0.619 0.144
Rh16 0.619 0.619 0.619
Rh17 0.659 0.000 0.000
Rh18 0.659 0.000 0.341
Rh19 0.659 0.341 0.000
Rh20 0.856 0.381 0.381
```

16.
Density functional theory data (PBE) for a relaxed Th2SiRh crystal.

- space group = No. 11

```
data_Th2SiRh
_chemical_formula_sum 'Th4 Si2 Rh2'
_cell_length_a 5.904
_cell_length_b 4.093
_cell_length_c 8.327
_cell_angle_alpha 90.00
_cell_angle_beta 108.57
_cell_angle_gamma 90.00
_space_group_name_H-M_alt 'P 1'
_space_group_IT_number 1
_space_group_name_Hall 'P 1'
loop_
_atom_site_label
_atom_site_fract_x
_atom_site_fract_y
_atom_site_fract_z
Th1 0.205 0.250 0.416
Th2 0.282 0.750 0.067
Th3 0.718 0.250 0.933
Th4 0.795 0.750 0.584
Si1 0.354 0.750 0.708
Si2 0.646 0.250 0.292
Rh1 0.139 0.250 0.794
Rh2 0.861 0.750 0.206
```

17.
Density functional theory data (PBE) for a relaxed Th2Si3Rh crystal.

- space group = No. 44

```
data_Th2Si3Rh
_chemical_formula_sum 'Th2 Si3 Rh1'
_cell_length_a 7.719
_cell_length_b 7.719
_cell_length_c 7.719
_cell_angle_alpha 149.27
_cell_angle_beta 148.16
_cell_angle_gamma 44.84
_space_group_name_H-M_alt 'P 1'
_space_group_IT_number 1
_space_group_name_Hall 'P 1'
loop_
_atom_site_label
_atom_site_fract_x
_atom_site_fract_y
_atom_site_fract_z
Th1 0.000 0.000 0.000
Th2 0.753 0.253 0.500
Si1 0.331 0.831 0.500
Si2 0.418 0.418 0.000
Si3 0.584 0.584 0.000
Rh1 0.165 0.665 0.500
```

18.
Density functional theory data (PBE) for a relaxed ThSi2Rh6 crystal.

- space group = No. 227

```
data_ThSi2Rh6
_chemical_formula_sum 'Th2 Si4 Rh12'
_cell_length_a 7.733
_cell_length_b 7.733
_cell_length_c 7.733
_cell_angle_alpha 60.00
_cell_angle_beta 60.00
_cell_angle_gamma 60.00
_space_group_name_H-M_alt 'P 1'
_space_group_IT_number 1
_space_group_name_Hall 'P 1'
loop_
_atom_site_label
_atom_site_fract_x
_atom_site_fract_y
_atom_site_fract_z
Th1 0.125 0.125 0.125
Th2 0.875 0.875 0.875
Si1 0.000 0.500 0.500
Si2 0.500 0.000 0.500
Si3 0.500 0.500 0.000
Si4 0.500 0.500 0.500
Rh1 0.126 0.126 0.624
Rh2 0.126 0.624 0.126
Rh3 0.126 0.624 0.624
Rh4 0.376 0.376 0.874
Rh5 0.376 0.874 0.376
Rh6 0.376 0.874 0.874
Rh7 0.624 0.126 0.126
Rh8 0.624 0.126 0.624
Rh9 0.624 0.624 0.126
Rh10 0.874 0.376 0.376
Rh11 0.874 0.376 0.874
Rh12 0.874 0.874 0.376
```

19.
Density functional theory data (PBE) for a relaxed ThSiRh3 crystal.

- relative energy among the computed polymorphs (kJ/mol of formula units) = 0
- space group = No. 107

```
data_ThSiRh3
_chemical_formula_sum 'Th1 Si1 Rh3'
_cell_length_a 6.018
_cell_length_b 6.018
_cell_length_c 6.018
_cell_angle_alpha 140.19
_cell_angle_beta 140.19
_cell_angle_gamma 57.57
_space_group_name_H-M_alt 'P 1'
_space_group_IT_number 1
_space_group_name_Hall 'P 1'
loop_
_atom_site_label
_atom_site_fract_x
_atom_site_fract_y
_atom_site_fract_z
Th1 0.000 0.000 0.000
Si1 0.642 0.642 0.000
Rh1 0.252 0.752 0.500
Rh2 0.425 0.425 0.000
Rh3 0.752 0.252 0.500
```

Calculated values (eV/atom) of DFT total energy for the records, taken in order: -7.85; -7.89; -7.90; -7.41; -7.70; -7.04; -7.39; -7.36; -7.97; -7.32; -7.85; -7.80; -6.99; -7.67; -7.70; -7.68; -7.33; -7.28; -7.89.
Calculated values (g/cm3) of ρ for the records, taken in order: 10.4; 10.2; 10.8; 8.7; 9.7; 7.6; 9.2; 8.7; 10.9; 8.8; 10.5; 10.6; 7.9; 9.7; 10.7; 10.4; 8.7; 9.2; 10.7.
Calculated values (eV/atom) of formation energy from raw total energies for the records, taken in order: -0.959; -1.000; -0.877; -1.004; -0.980; -0.501; -0.833; -0.857; -1.033; -0.911; -0.798; -0.824; -0.728; -1.017; -0.740; -0.781; -0.924; -0.350; -0.911.